The following is a PBE calculation of crystalline Al2TlCuI8 at its relaxed geometry, from Alexandria via LeMat-Bulk.

Lattice parameters (Å, degrees): 7.355 7.355 10.268 90.00 90.00 120.00
Fractional positions:
Al1 0.333 0.667 0.246
Al2 0.667 0.333 0.754
Tl1 0.000 0.000 0.500
Cu1 0.000 0.000 0.000
I1 0.012 0.319 0.170
I2 0.307 0.988 0.170
I3 0.319 0.307 0.830
I4 0.333 0.667 0.495
I5 0.667 0.333 0.505
I6 0.681 0.693 0.170
I7 0.693 0.012 0.830
I8 0.988 0.681 0.830

Computed properties:
formation energy from raw total energies: -0.524 eV per atom
V: 40.09 A^3/atom
DOS(E_F): 0.00 states/eV/f.u.

=====

The following is a PBE calculation of crystalline KYCd2Te at its relaxed geometry, from Alexandria via LeMat-Bulk.

Lattice parameters (Å, degrees): 5.755 5.755 6.074 90.00 90.00 90.00
Fractional positions:
K1 0.000 0.000 0.000
Y1 0.500 0.500 0.000
Cd1 0.000 0.500 0.500
Cd2 0.500 0.000 0.500
Te1 0.000 0.000 0.500

Computed properties:
formation energy from raw total energies: 0.435 eV per atom
V: 40.24 A^3/atom
DOS(E_F): 6.00 states/eV/f.u.

=====

The following is a PBE calculation of crystalline TmZrBe4 at its relaxed geometry, from Alexandria via LeMat-Bulk.

Lattice parameters (Å, degrees): 4.877 4.877 4.877 60.00 60.00 60.00
Fractional positions:
Tm1 0.000 0.000 0.000
Zr1 0.750 0.750 0.750
Be1 0.379 0.379 0.379
Be2 0.379 0.379 0.864
Be3 0.379 0.864 0.379
Be4 0.864 0.379 0.379

Computed properties:
V: 13.67 A^3/atom
calculated formation energy: 0.0075 eV/atom
DOS(E_F): 4.94 states/eV/f.u.

=====

The following is a PBE calculation of crystalline MgSbOs2 at its relaxed geometry, from Alexandria via LeMat-Bulk.

Lattice parameters (Å, degrees): 2.969 4.038 5.537 90.00 90.00 90.00
Fractional positions:
Mg1 0.000 0.000 0.000
Sb1 0.500 0.500 0.715
Os1 0.000 0.000 0.471
Os2 0.500 0.500 0.230

Computed properties:
formation energy from raw total energies: 0.398 eV per atom
V: 16.60 A^3/atom
DOS(E_F): 3.32 states/eV/f.u.

=====

The following is a PBE calculation of crystalline Pr7Dy12Y at its relaxed geometry, from Alexandria via LeMat-Bulk.

Lattice parameters (Å, degrees): 8.840 8.840 8.840 86.01 86.01 86.01
Fractional positions:
Pr1 0.000 0.000 0.000
Pr2 0.102 0.420 0.344
Pr3 0.344 0.102 0.420
Pr4 0.420 0.344 0.102
Pr5 0.580 0.656 0.898
Pr6 0.656 0.898 0.580
Pr7 0.898 0.580 0.656
Dy1 0.003 0.883 0.366
Dy2 0.117 0.634 0.997
Dy3 0.226 0.354 0.752
Dy4 0.248 0.774 0.646
Dy5 0.354 0.752 0.226
Dy6 0.366 0.003 0.883
Dy7 0.634 0.997 0.117
Dy8 0.646 0.248 0.774
Dy9 0.752 0.226 0.354
Dy10 0.774 0.646 0.248
Dy11 0.883 0.366 0.003
Dy12 0.997 0.117 0.634
Y1 0.500 0.500 0.500

Computed properties:
V: 34.30 A^3/atom
calculated formation energy: 0.2273 eV/atom
polymorph energy (0 for the lowest one): 0 meV/atom
DOS(E_F): 36.73 states/eV/f.u.

=====

The following is a PBE calculation of crystalline SrMnBr4 at its relaxed geometry, from Alexandria via LeMat-Bulk.

Lattice parameters (Å, degrees): 6.497 6.497 6.497 60.00 60.00 60.00
Fractional positions:
Sr1 0.000 0.000 0.000
Mn1 0.250 0.250 0.250
Br1 0.125 0.625 0.625
Br2 0.625 0.125 0.625
Br3 0.625 0.625 0.125
Br4 0.625 0.625 0.625

Computed properties:
formation energy from raw total energies: -0.043 eV per atom
V: 32.32 A^3/atom
polymorph energy (0 for the lowest one): 1380 meV/atom
DOS(E_F): 6.14 states/eV/f.u.

=====

The following is a PBE calculation of crystalline LaPrTe2 at its relaxed geometry, from Alexandria via LeMat-Bulk.

Lattice parameters (Å, degrees): 7.899 7.899 7.899 131.86 131.86 70.45
Fractional positions:
La1 0.375 0.625 0.750
La2 0.625 0.375 0.250
Pr1 0.125 0.875 0.250
Pr2 0.875 0.125 0.750
Te1 0.124 0.374 0.750
Te2 0.374 0.124 0.250
Te3 0.626 0.876 0.750
Te4 0.876 0.626 0.250

Computed properties:
formation energy from raw total energies: -1.518 eV per atom
V: 33.48 A^3/atom
polymorph energy (0 for the lowest one): 5 meV/atom
DOS(E_F): 2.57 states/eV/f.u.

=====

The following is a PBE calculation of crystalline Cs2Pr10Ru2I17 at its relaxed geometry, from Alexandria via LeMat-Bulk.

Lattice parameters (Å, degrees): 11.830 11.830 10.117 93.52 93.52 107.86
Fractional positions:
Cs1 0.173 0.827 0.000
Cs2 0.827 0.173 0.000
Pr1 0.174 0.174 0.441
Pr2 0.209 0.509 0.570
Pr3 0.294 0.294 0.815
Pr4 0.438 0.438 0.319
Pr5 0.491 0.791 0.430
Pr6 0.509 0.209 0.570
Pr7 0.562 0.562 0.681
Pr8 0.706 0.706 0.185
Pr9 0.791 0.491 0.430
Pr10 0.826 0.826 0.559
Ru1 0.360 0.360 0.568
Ru2 0.640 0.640 0.432
I1 0.025 0.687 0.580
I2 0.065 0.065 0.713
I3 0.118 0.451 0.857
I4 0.212 0.212 0.130
I5 0.252 0.601 0.273
I6 0.313 0.975 0.420
I7 0.399 0.748 0.727
I8 0.451 0.118 0.857
I9 0.500 0.500 0.000
I10 0.549 0.882 0.143
I11 0.601 0.252 0.273
I12 0.687 0.025 0.580
I13 0.748 0.399 0.727
I14 0.788 0.788 0.870
I15 0.882 0.549 0.143
I16 0.935 0.935 0.287
I17 0.975 0.313 0.420

Computed properties:
formation energy from raw total energies: -1.250 eV per atom
V: 43.23 A^3/atom
DOS(E_F): 18.14 states/eV/f.u.

=====

The following is a PBE calculation of crystalline CeTmZnCd at its relaxed geometry, from Alexandria via LeMat-Bulk.

Lattice parameters (Å, degrees): 3.516 3.516 7.923 90.00 90.00 90.00
Fractional positions:
Ce1 0.000 0.000 0.000
Tm1 0.000 0.000 0.542
Zn1 0.500 0.500 0.752
Cd1 0.500 0.500 0.289

Computed properties:
V: 24.49 A^3/atom
calculated formation energy: -0.2420 eV/atom
polymorph energy (0 for the lowest one): 0 meV/atom
DOS(E_F): 7.84 states/eV/f.u.

=====

The following is a PBE calculation of crystalline K2SrCa at its relaxed geometry, from Alexandria via LeMat-Bulk.

Lattice parameters (Å, degrees): 7.350 7.350 8.024 96.03 96.03 32.64
Fractional positions:
K1 0.000 0.000 0.000
K2 0.245 0.245 0.754
Sr1 0.490 0.490 0.475
Ca1 0.749 0.749 0.273

Computed properties:
V: 58.09 A^3/atom
calculated formation energy: 0.1441 eV/atom
DOS(E_F): 3.74 states/eV/f.u.

=====

The following is a PBE calculation of crystalline Ac2UAs3O3 at its relaxed geometry, from Alexandria via LeMat-Bulk.

Lattice parameters (Å, degrees): 6.224 6.224 5.265 90.00 90.00 120.00
Fractional positions:
Ac1 0.333 0.667 0.000
Ac2 0.667 0.333 0.000
U1 0.000 0.000 0.500
As1 0.000 0.464 0.500
As2 0.464 0.000 0.500
As3 0.536 0.536 0.500
O1 0.000 0.749 0.000
O2 0.251 0.251 0.000
O3 0.749 0.000 0.000

Computed properties:
formation energy from raw total energies: -1.329 eV per atom
V: 19.63 A^3/atom
DOS(E_F): 4.57 states/eV/f.u.

=====

The following is a PBE calculation of crystalline AlCdAg4 at its relaxed geometry, from Alexandria via LeMat-Bulk.

Lattice parameters (Å, degrees): 5.498 5.498 5.498 60.00 60.00 60.00
Fractional positions:
Al1 0.000 0.000 0.000
Cd1 0.750 0.750 0.750
Ag1 0.375 0.375 0.375
Ag2 0.375 0.375 0.875
Ag3 0.375 0.875 0.375
Ag4 0.875 0.375 0.375

Computed properties:
V: 19.58 A^3/atom
calculated formation energy: 0.1278 eV/atom
polymorph energy (0 for the lowest one): 170 meV/atom
DOS(E_F): 1.46 states/eV/f.u.